Material: CuP
Method: DFT, PBE
State: relaxed

Summary:
Formation energy in eV/atom: 0.396
Magnetization in Bohr magnetons per cell: 0.00
Calculated volume in Å³ per cell: 27.30
Final energy in eV/atom: -4.357

Structure (CIF):
```
data_CuP
_cell_length_a 3.011
_cell_length_b 3.011
_cell_length_c 3.011
_cell_angle_alpha 90.00
_cell_angle_beta 90.00
_cell_angle_gamma 90.00
_symmetry_space_group_name_H-M 'P m -3 m'
_symmetry_Int_Tables_number 221
_symmetry_space_group_name_Hall '-P 4 2 3'
loop_
_atom_site_label
_atom_site_fract_x
_atom_site_fract_y
_atom_site_fract_z
Cu1 0.000 0.000 0.000
P1 0.500 0.500 0.500
```

***

Material: Cu3P5
Method: DFT, PBE
State: relaxed

Summary:
Formation energy in eV/atom: 0.130
Magnetization in Bohr magnetons per cell: 0.00
Calculated volume in Å³ per cell: 580.40
Final energy in eV/atom: -4.787

Structure (CIF):
```
data_Cu3P5
_cell_length_a 5.528
_cell_length_b 14.972
_cell_length_c 7.199
_cell_angle_alpha 90.00
_cell_angle_beta 103.06
_cell_angle_gamma 90.00
_symmetry_space_group_name_H-M 'C 1 m 1'
_symmetry_Int_Tables_number 8
loop_
_symmetry_equiv_pos_as_xyz
'x,y,z'
'x,-y,z'
'x+1/2,y+1/2,z'
'x+1/2,-y+1/2,z'
loop_
_atom_site_label
_atom_site_fract_x
_atom_site_fract_y
_atom_site_fract_z
Cu1 0.000 0.000 0.000
Cu2 0.022 0.500 0.078
Cu3 0.067 0.252 0.047
Cu4 0.276 0.413 0.569
P1 0.029 0.116 0.228
P2 0.031 0.133 0.845
P3 0.075 0.000 0.447
P4 0.139 0.370 0.254
P5 0.428 0.114 0.853
P6 0.439 0.000 0.632
```

***

Material: CuP2
Method: DFT, PBE
State: relaxed

Summary:
Formation energy in eV/atom: 0.269
Magnetization in Bohr magnetons per cell: 0.00
Calculated volume in Å³ per cell: 45.01
Final energy in eV/atom: -4.703

Structure (CIF):
```
data_CuP2
_cell_length_a 3.503
_cell_length_b 3.503
_cell_length_c 3.668
_cell_angle_alpha 90.00
_cell_angle_beta 90.00
_cell_angle_gamma 90.00
_symmetry_space_group_name_H-M 'P 4/m m m'
_symmetry_Int_Tables_number 123
_symmetry_space_group_name_Hall '-P 4 2'
loop_
_atom_site_label
_atom_site_fract_x
_atom_site_fract_y
_atom_site_fract_z
Cu1 0.000 0.000 0.000
P1 0.000 0.500 0.500
```

***

Material: CuP
Method: DFT, PBE
State: relaxed

Summary:
Formation energy in eV/atom: 0.288
Magnetization in Bohr magnetons per cell: 0.00
Calculated volume in Å³ per cell: 54.27
Final energy in eV/atom: -4.465

Structure (CIF):
```
data_CuP
_cell_length_a 4.663
_cell_length_b 4.674
_cell_length_c 2.490
_cell_angle_alpha 90.00
_cell_angle_beta 90.00
_cell_angle_gamma 90.00
_symmetry_space_group_name_H-M 'C m m m'
_symmetry_Int_Tables_number 65
_symmetry_space_group_name_Hall '-C 2 2'
loop_
_atom_site_label
_atom_site_fract_x
_atom_site_fract_y
_atom_site_fract_z
Cu1 0.000 0.000 0.000
P1 0.000 0.500 0.500
```

***

Material: CuP
Method: DFT, PBE
State: relaxed

Summary:
Formation energy in eV/atom: 0.118
Magnetization in Bohr magnetons per cell: 0.00
Calculated volume in Å³ per cell: 187.42
Final energy in eV/atom: -4.635

Structure (CIF):
```
data_CuP
_cell_length_a 7.252
_cell_length_b 4.089
_cell_length_c 6.321
_cell_angle_alpha 90.00
_cell_angle_beta 90.00
_cell_angle_gamma 90.00
_symmetry_space_group_name_H-M 'P m n 21'
_symmetry_Int_Tables_number 31
loop_
_symmetry_equiv_pos_as_xyz
'x,y,z'
'-x+1/2,-y,z+1/2'
'-x,y,z'
'x+1/2,-y,z+1/2'
loop_
_atom_site_label
_atom_site_fract_x
_atom_site_fract_y
_atom_site_fract_z
Cu1 0.000 0.085 0.000
Cu2 0.176 0.675 0.478
P1 0.000 0.584 0.797
P2 0.212 0.176 0.315
```

***

Material: CuP2
Method: DFT, PBE
State: relaxed

Summary:
Formation energy in eV/atom: 0.248
Magnetization in Bohr magnetons per cell: 0.00
Calculated volume in Å³ per cell: 136.99
Final energy in eV/atom: -4.724

Structure (CIF):
```
data_CuP2
_cell_length_a 7.0118
_cell_length_b 7.0118
_cell_length_c 3.2172
_cell_angle_alpha 90.00
_cell_angle_beta 90.00
_cell_angle_gamma 120.00
_symmetry_space_group_name_H-M 'P -6 2 m'
_symmetry_Int_Tables_number 189
_symmetry_space_group_name_Hall 'P -6 -2'
loop_
_atom_site_label
_atom_site_fract_x
_atom_site_fract_y
_atom_site_fract_z
Cu1 0.0000 0.0000 0.0000
Cu2 0.3333 0.6667 0.5000
P1 0.0000 0.2891 0.5000
P2 0.0000 0.5138 0.0000
```

***

Material: CuP3
Method: DFT, PBE
State: relaxed

Summary:
Formation energy in eV/atom: 0.198
Energy above the lowest structure with this stoichiometry in meV per atom: 38
Magnetization in Bohr magnetons per cell: 0.00
Calculated volume in Å³ per cell: 127.93
Final energy in eV/atom: -4.883

Structure (CIF):
```
data_CuP3
_cell_length_a 4.689
_cell_length_b 4.865
_cell_length_c 5.607
_cell_angle_alpha 90.00
_cell_angle_beta 90.00
_cell_angle_gamma 90.00
_symmetry_space_group_name_H-M 'P m m n'
_symmetry_Int_Tables_number 59
loop_
_symmetry_equiv_pos_as_xyz
'x,y,z'
'-x,-y,-z'
'-x+1/2,-y+1/2,z'
'x+1/2,y+1/2,-z'
'x+1/2,-y,-z'
'-x+1/2,y,z'
'-x,y+1/2,-z'
'x,-y+1/2,z'
loop_
_atom_site_label
_atom_site_fract_x
_atom_site_fract_y
_atom_site_fract_z
Cu1 0.250 0.250 0.102
P1 0.250 0.023 0.528
P2 0.250 0.750 0.870
```

***

Material: CuP
Method: DFT, PBE
State: relaxed

Summary:
Formation energy in eV/atom: 0.264
Magnetization in Bohr magnetons per cell: 0.00
Calculated volume in Å³ per cell: 56.53
Final energy in eV/atom: -4.489

Structure (CIF):
```
data_CuP
_cell_length_a 3.518
_cell_length_b 3.518
_cell_length_c 4.568
_cell_angle_alpha 90.00
_cell_angle_beta 90.00
_cell_angle_gamma 90.00
_symmetry_space_group_name_H-M 'P 4/n m m'
_symmetry_Int_Tables_number 129
loop_
_symmetry_equiv_pos_as_xyz
'x,y,z'
'-x,-y,-z'
'-y+1/2,x,z'
'y+1/2,-x,-z'
'-x+1/2,-y+1/2,z'
'x+1/2,y+1/2,-z'
'y,-x+1/2,z'
'-y,x+1/2,-z'
'x+1/2,-y,-z'
'-x+1/2,y,z'
'-y,-x,-z'
'y,x,z'
'-x,y+1/2,-z'
'x,-y+1/2,z'
'y+1/2,x+1/2,-z'
'-y+1/2,-x+1/2,z'
loop_
_atom_site_label
_atom_site_fract_x
_atom_site_fract_y
_atom_site_fract_z
Cu1 0.250 0.250 0.098
P1 0.250 0.250 0.599
```

***

Material: CuP
Method: DFT, PBE
State: relaxed

Summary:
Formation energy in eV/atom: 0.069
Magnetization in Bohr magnetons per cell: 0.00
Calculated volume in Å³ per cell: 113.00
Final energy in eV/atom: -4.684

Structure (CIF):
```
data_CuP
_cell_length_a 11.385
_cell_length_b 2.597
_cell_length_c 3.897
_cell_angle_alpha 90.00
_cell_angle_beta 101.29
_cell_angle_gamma 90.00
_symmetry_space_group_name_H-M 'C 1 2/m 1'
_symmetry_Int_Tables_number 12
loop_
_symmetry_equiv_pos_as_xyz
'x,y,z'
'-x,-y,-z'
'-x,y,-z'
'x,-y,z'
'x+1/2,y+1/2,z'
'-x+1/2,-y+1/2,-z'
'-x+1/2,y+1/2,-z'
'x+1/2,-y+1/2,z'
loop_
_atom_site_label
_atom_site_fract_x
_atom_site_fract_y
_atom_site_fract_z
Cu1 0.159 0.000 0.090
P1 0.102 0.500 0.557
```

***

Material: Cu2P3
Method: DFT, PBE
State: relaxed

Summary:
Formation energy in eV/atom: 0.067
Magnetization in Bohr magnetons per cell: 0.00
Calculated volume in Å³ per cell: 625.17
Final energy in eV/atom: -4.818

Structure (CIF):
```
data_Cu2P3
_cell_length_a 10.885
_cell_length_b 14.032
_cell_length_c 4.093
_cell_angle_alpha 90.00
_cell_angle_beta 90.00
_cell_angle_gamma 90.00
_symmetry_space_group_name_H-M 'F d d 2'
_symmetry_Int_Tables_number 43
_symmetry_space_group_name_Hall 'F 2 -2d'
loop_
_atom_site_label
_atom_site_fract_x
_atom_site_fract_y
_atom_site_fract_z
Cu1 0.031 0.363 0.000
P1 0.000 0.000 0.222
P2 0.103 0.211 0.131
```

***

Material: CuP
Method: DFT, PBE
State: relaxed

Summary:
Formation energy in eV/atom: 0.181
Magnetization in Bohr magnetons per cell: 0.00
Calculated volume in Å³ per cell: 171.56
Final energy in eV/atom: -4.572

Structure (CIF):
```
data_CuP
_cell_length_a 11.551
_cell_length_b 2.632
_cell_length_c 6.314
_cell_angle_alpha 90.00
_cell_angle_beta 116.66
_cell_angle_gamma 90.00
_symmetry_space_group_name_H-M 'C 1 m 1'
_symmetry_Int_Tables_number 8
loop_
_symmetry_equiv_pos_as_xyz
'x,y,z'
'x,-y,z'
'x+1/2,y+1/2,z'
'x+1/2,-y+1/2,z'
loop_
_atom_site_label
_atom_site_fract_x
_atom_site_fract_y
_atom_site_fract_z
Cu1 0.000 0.000 0.000
Cu2 0.016 0.500 0.662
Cu3 0.366 0.500 0.266
P1 0.066 0.500 0.346
P2 0.208 0.000 0.949
P3 0.318 0.000 0.704
```

***

Material: CuP3
Method: DFT, PBE
State: relaxed

Summary:
Formation energy in eV/atom: 0.341
Energy above the lowest structure with this stoichiometry in meV per atom: 181
Magnetization in Bohr magnetons per cell: 0.00
Calculated volume in Å³ per cell: 58.78
Final energy in eV/atom: -4.740

Structure (CIF):
```
data_CuP3
_cell_length_a 3.074
_cell_length_b 3.171
_cell_length_c 6.031
_cell_angle_alpha 90.00
_cell_angle_beta 90.00
_cell_angle_gamma 90.00
_symmetry_space_group_name_H-M 'P m m 2'
_symmetry_Int_Tables_number 25
loop_
_symmetry_equiv_pos_as_xyz
'x,y,z'
'-x,-y,z'
'-x,y,z'
'x,-y,z'
loop_
_atom_site_label
_atom_site_fract_x
_atom_site_fract_y
_atom_site_fract_z
Cu1 0.000 0.000 0.000
P1 0.000 0.500 0.500
P2 0.500 0.000 0.672
P3 0.500 0.500 0.195
```

***

Q: What is the calculated volume in the tenth record?
A: 625.17 Å³ per cell

***

Q: The lowest formation energy belongs to which entry?
A: Cu2P3